Entry 1:
This record from Alexandria describes a relaxed structure of CoAsRh2. The functional is PBE.

electronic total energy: -6.59 eV/atom
N(E_F): 4.58 states/eV/f.u.
energy of formation: 0.0261 eV per atom
volume: 13.795 Å³/atom

The structure in extended XYZ format:
```
4
Lattice="2.916 0.000 0.000 0.000 2.916 0.000 0.000 0.000 6.490" Properties=species:S:1:pos:R:3 pbc="T T T"
Co 1.458 1.458 4.755
As 0.000 0.000 3.316
Rh 0.000 0.000 6.349
Rh 1.458 1.458 1.804
```

---

Entry 2:
This record from Alexandria describes a relaxed structure of CoAsRh2. The functional is PBE.

electronic total energy: -6.62 eV/atom
N(E_F): 4.56 states/eV/f.u.
energy of formation: -0.0023 eV per atom
volume: 13.626 Å³/atom

The structure in extended XYZ format:
```
4
Lattice="4.599 -0.025 0.000 1.435 4.369 0.000 -3.017 -2.172 2.707" Properties=species:S:1:pos:R:3 pbc="T T T"
Co 2.300 -0.013 1.354
As 3.017 2.172 0.000
Rh 0.718 2.185 1.354
Rh 0.000 0.000 0.000
```

---

Entry 3:
This record from Alexandria describes a relaxed structure of CoAsRh2. The functional is PBE.

electronic total energy: -6.52 eV/atom
N(E_F): 6.42 states/eV/f.u.
energy of formation: 0.0946 eV per atom
volume: 13.980 Å³/atom

The structure in extended XYZ format:
```
4
Lattice="4.292 0.000 0.000 2.146 3.717 0.000 2.146 1.239 3.505" Properties=species:S:1:pos:R:3 pbc="T T T"
As 4.292 2.478 1.752
Rh 2.146 1.239 0.876
Rh 0.000 0.000 0.000
Co 6.439 3.717 2.629
```

---

Entry 4:
This record from Alexandria describes a relaxed structure of CoAsRh2. The functional is PBE.

electronic total energy: -6.60 eV/atom
N(E_F): 7.69 states/eV/f.u.
energy of formation: 0.0165 eV per atom
volume: 13.855 Å³/atom

The structure in extended XYZ format:
```
4
Lattice="4.357 0.000 0.000 0.000 4.357 0.000 0.000 0.000 2.919" Properties=species:S:1:pos:R:3 pbc="T T T"
Rh 0.000 0.000 0.000
Rh 2.179 2.179 0.000
As 2.179 0.000 1.459
Co 0.000 2.179 1.459
```

---

Entry 5:
This record from Alexandria describes a relaxed structure of Sm2CoAs3Rh4. The functional is PBE.

electronic total energy: -6.80 eV/atom
N(E_F): 5.85 states/eV/f.u.
energy of formation: -0.8075 eV per atom
volume: 17.769 Å³/atom

The structure in extended XYZ format:
```
10
Lattice="-3.916 0.599 -1.345 -0.559 -4.141 -0.218 -3.305 -0.059 9.596" Properties=species:S:1:pos:R:3 pbc="T T T"
Sm -2.738 -2.114 7.030
Sm -2.805 0.285 1.784
As -0.739 -2.079 1.225
As -1.653 -0.030 4.798
As -4.804 0.249 7.589
Rh -2.238 -1.771 -0.782
Rh -4.021 0.263 5.315
Rh -1.522 -2.093 3.499
Rh 0.000 0.000 0.000
Co -3.890 -1.800 4.016
```

---

Entry 6:
This record from Alexandria describes a relaxed structure of Sm2CoAs4Rh3. The functional is PBE.

electronic total energy: -6.56 eV/atom
N(E_F): 5.02 states/eV/f.u.
energy of formation: -0.8412 eV per atom
volume: 17.986 Å³/atom

The structure in extended XYZ format:
```
10
Lattice="-3.049 -2.961 -0.214 2.386 -2.626 2.350 -4.124 3.649 8.265" Properties=species:S:1:pos:R:3 pbc="T T T"
As -0.339 0.043 4.245
As -0.332 -2.794 1.068
As 0.000 0.000 0.000
As -4.117 0.813 5.088
Rh -2.062 1.825 4.133
Rh 0.674 -0.854 2.214
Rh -5.130 1.710 7.120
Sm -1.895 1.420 7.364
Sm -2.560 -0.564 1.969
Co -2.394 -0.969 5.201
```

---

volume of number 6 (Sm2CoAs4Rh3)?
17.986 Å³/atom

---

What is the formula in the fourth record?
CoAsRh2

---

Copy entry 1 word for word.
This record from Alexandria describes a relaxed structure of CoAsRh2. The functional is PBE.

electronic total energy: -6.59 eV/atom
N(E_F): 4.58 states/eV/f.u.
energy of formation: 0.0261 eV per atom
volume: 13.795 Å³/atom

The structure in extended XYZ format:
```
4
Lattice="2.916 0.000 0.000 0.000 2.916 0.000 0.000 0.000 6.490" Properties=species:S:1:pos:R:3 pbc="T T T"
Co 1.458 1.458 4.755
As 0.000 0.000 3.316
Rh 0.000 0.000 6.349
Rh 1.458 1.458 1.804
```